No. 1
Computed, not measured: a relaxed structure of H4SeBr at the PBE level of DFT.

Computed properties:
VASP energy = -2.93 eV/atom

Cell: 5.8336 5.0979 9.4320 Å, 90.00 127.43 90.00°
Element x y z (fractional)
H 0.1869 0.0780 0.2490
H 0.1869 0.9220 0.7490
H 0.2458 0.2487 0.4969
H 0.2458 0.7513 0.9969
H 0.7542 0.2487 0.0031
H 0.7542 0.7513 0.5031
H 0.8131 0.0780 0.2510
H 0.8131 0.9220 0.7510
Se 0.0000 0.2811 0.2500
Se 0.0000 0.7189 0.7500
Br 0.5000 0.2412 0.7500
Br 0.5000 0.7588 0.2500

No. 2
Computed, not measured: a relaxed structure of HSeBr4 at the PBE level of DFT.

Computed properties:
VASP energy = -2.39 eV/atom

Cell: 6.9839 7.4385 10.4955 Å, 74.70 71.02 70.94°
Element x y z (fractional)
H 0.1852 0.0248 0.3373
H 0.8148 0.9752 0.6627
Se 0.1947 0.5179 0.1036
Se 0.8053 0.4821 0.8964
Br 0.0177 0.3728 0.3290
Br 0.1245 0.2574 0.9499
Br 0.2852 0.8191 0.3450
Br 0.4357 0.6889 0.8565
Br 0.5643 0.3111 0.1435
Br 0.7148 0.1809 0.6550
Br 0.8755 0.7426 0.0501
Br 0.9823 0.6272 0.6710

No. 3
Computed, not measured: a relaxed structure of HSe2Br at the PBE level of DFT.

Computed properties:
Energy relative to the lowest polymorph listed for this composition = 1198.3 meV per atom

Cell: 4.7540 4.7540 4.7540 Å, 60.00 60.00 60.00°
Element x y z (fractional)
H 0.0000 0.0000 0.0000
Se 0.2500 0.2500 0.2500
Se 0.7500 0.7500 0.7500
Br 0.5000 0.5000 0.5000

No. 4
Computed, not measured: a relaxed structure of HSeBr3 at the PBE level of DFT.

Computed properties:
Energy relative to the lowest polymorph listed for this composition = 0.0 meV per atom

Cell: 5.5466 8.1587 9.6637 Å, 102.87 94.00 103.90°
Element x y z (fractional)
H 0.0997 0.4166 0.3176
H 0.9003 0.5834 0.6824
Se 0.1494 0.0010 0.9035
Se 0.8506 0.9990 0.0965
Br 0.0328 0.8078 0.1918
Br 0.2309 0.8141 0.6825
Br 0.3176 0.5591 0.3139
Br 0.6824 0.4409 0.6861
Br 0.7691 0.1859 0.3175
Br 0.9672 0.1922 0.8082

No. 5
Computed, not measured: a relaxed structure of H4SeBr2 at the PBE level of DFT.

Computed properties:
Energy relative to the lowest polymorph listed for this composition = 0.0 meV per atom

Cell: 6.0169 6.0169 5.9125 Å, 116.19 116.19 81.39°
Element x y z (fractional)
H 0.0000 0.0000 0.0000
H 0.3428 0.6204 0.2728
H 0.6204 0.3428 0.2728
H 0.6716 0.6716 0.6563
Se 0.4710 0.4710 0.4512
Br 0.2141 0.7790 0.9781
Br 0.7790 0.2141 0.9781

No. 6
Computed, not measured: a relaxed structure of HSe2Br at the PBE level of DFT.

Computed properties:
Energy relative to the lowest polymorph listed for this composition = 639.1 meV per atom

Cell: 6.5902 6.5902 6.5902 Å, 129.91 129.91 73.56°
Element x y z (fractional)
H 0.0000 0.0000 0.0000
H 0.7500 0.2500 0.5000
Se 0.3750 0.2145 0.3395
Se 0.7855 0.1250 0.1605
Se 0.8750 0.0355 0.6605
Se 0.9645 0.6250 0.8395
Br 0.2500 0.7500 0.5000
Br 0.5000 0.5000 0.0000

No. 7
Computed, not measured: a relaxed structure of HSe2Br at the PBE level of DFT.

Computed properties:
Energy relative to the lowest polymorph listed for this composition = 659.1 meV per atom

Cell: 7.5028 7.5028 7.5028 Å, 28.28 28.28 28.28°
Element x y z (fractional)
H 0.0000 0.0000 0.0000
Se 0.3797 0.3797 0.3797
Se 0.6203 0.6203 0.6203
Br 0.5000 0.5000 0.5000

No. 8
Computed, not measured: a relaxed structure of H2Se2Br at the PBE level of DFT.

Computed properties:
VASP energy = -3.09 eV/atom

Cell: 5.1097 5.1097 12.1988 Å, 90.44 90.44 50.69°
Element x y z (fractional)
H 0.1257 0.3107 0.3549
H 0.3107 0.1257 0.8549
H 0.6893 0.8743 0.1451
H 0.8743 0.6893 0.6451
Se 0.1614 0.5178 0.4316
Se 0.4822 0.8386 0.0684
Se 0.5178 0.1614 0.9316
Se 0.8386 0.4822 0.5684
Br 0.1374 0.8626 0.2500
Br 0.8626 0.1374 0.7500

No. 9
Computed, not measured: a relaxed structure of HSeBr3 at the PBE level of DFT.

Computed properties:
Energy relative to the lowest polymorph listed for this composition = 581.5 meV per atom

Cell: 5.3121 5.3121 5.3121 Å, 90.00 90.00 90.00°
Element x y z (fractional)
H 0.0000 0.0000 0.0000
Se 0.5000 0.5000 0.5000
Br 0.0000 0.5000 0.5000
Br 0.5000 0.0000 0.5000
Br 0.5000 0.5000 0.0000

No. 10
Computed, not measured: a relaxed structure of HSe2Br at the PBE level of DFT.

Computed properties:
Energy relative to the lowest polymorph listed for this composition = 365.6 meV per atom

Cell: 11.6152 11.6152 11.6152 Å, 14.66 14.66 14.66°
Element x y z (fractional)
H 0.0000 0.0000 0.0000
Se 0.0522 0.0522 0.0522
Se 0.9478 0.9478 0.9478
Br 0.5000 0.5000 0.5000

No. 11
Computed, not measured: a relaxed structure of H3SeBr at the PBE level of DFT.

Computed properties:
Energy relative to the lowest polymorph listed for this composition = 641.5 meV per atom

Cell: 3.8107 3.8107 3.8107 Å, 90.00 90.00 90.00°
Element x y z (fractional)
H 0.0000 0.0000 0.5000
H 0.0000 0.5000 0.0000
H 0.5000 0.0000 0.0000
Se 0.0000 0.0000 0.0000
Br 0.5000 0.5000 0.5000

No. 12
Computed, not measured: a relaxed structure of H3SeBr at the PBE level of DFT.

Computed properties:
Energy relative to the lowest polymorph listed for this composition = 1203.3 meV per atom

Cell: 3.8729 3.8729 3.8729 Å, 90.00 90.00 90.00°
Element x y z (fractional)
H 0.0000 0.0000 0.5000
H 0.0000 0.5000 0.0000
H 0.5000 0.0000 0.0000
Se 0.5000 0.5000 0.5000
Br 0.0000 0.0000 0.0000

No. 13
Computed, not measured: a relaxed structure of H3SeBr at the PBE level of DFT.

Computed properties:
Energy relative to the lowest polymorph listed for this composition = 37.4 meV per atom

Cell: 6.3772 9.0957 6.5918 Å, 90.00 90.00 90.00°
Element x y z (fractional)
H 0.0553 0.2500 0.2075
H 0.2437 0.1293 0.9849
H 0.2437 0.3707 0.9849
H 0.2563 0.6293 0.4849
H 0.2563 0.8707 0.4849
H 0.4447 0.7500 0.7075
H 0.5553 0.2500 0.2925
H 0.7437 0.1293 0.5151
H 0.7437 0.3707 0.5151
H 0.7563 0.6293 0.0151
H 0.7563 0.8707 0.0151
H 0.9447 0.7500 0.7925
Se 0.0646 0.2500 0.9809
Se 0.4354 0.7500 0.4809
Se 0.5646 0.2500 0.5191
Se 0.9354 0.7500 0.0191
Br 0.0000 0.0000 0.5000
Br 0.0000 0.5000 0.5000
Br 0.5000 0.0000 0.0000
Br 0.5000 0.5000 0.0000

No. 14
Computed, not measured: a relaxed structure of HSe2Br at the PBE level of DFT.

Computed properties:
Energy relative to the lowest polymorph listed for this composition = 0.0 meV per atom

Cell: 5.1635 6.5828 8.7369 Å, 82.84 73.56 69.62°
Element x y z (fractional)
H 0.0000 0.0000 0.0000
H 0.4449 0.6175 0.5065
Se 0.1373 0.9929 0.8239
Se 0.3260 0.6172 0.8151
Se 0.5517 0.6015 0.3269
Se 0.9715 0.3163 0.3259
Br 0.7856 0.5327 0.8872
Br 0.8348 0.9995 0.3265

No. 15
Computed, not measured: a relaxed structure of H3SeBr at the PBE level of DFT.

Computed properties:
Energy relative to the lowest polymorph listed for this composition = 0.0 meV per atom

Cell: 5.0541 5.0541 5.0541 Å, 65.56 65.56 65.56°
Element x y z (fractional)
H 0.0603 0.4698 0.4698
H 0.4698 0.0603 0.4698
H 0.4698 0.4698 0.0603
Se 0.2610 0.2610 0.2610
Br 0.7621 0.7621 0.7621

No. 16
Computed, not measured: a relaxed structure of H2Se6Br at the PBE level of DFT.

Computed properties:
VASP energy = -3.22 eV/atom

Cell: 5.2761 6.3297 8.4918 Å, 101.92 106.01 95.01°
Element x y z (fractional)
H 0.0077 0.1084 0.4123
H 0.9923 0.8916 0.5877
Se 0.2723 0.2552 0.4705
Se 0.2996 0.3637 0.9323
Se 0.4603 0.1482 0.7246
Se 0.5397 0.8518 0.2754
Se 0.7004 0.6363 0.0677
Se 0.7277 0.7448 0.5295
Br 0.0000 0.0000 0.0000

No. 17
Computed, not measured: a relaxed structure of H5SeBr4 at the PBE level of DFT.

Computed properties:
VASP energy = -2.74 eV/atom

Cell: 7.0040 7.0040 7.0040 Å, 105.93 105.93 116.81°
Element x y z (fractional)
H 0.0000 0.0000 0.0000
H 0.0621 0.9702 0.6223
H 0.3479 0.4398 0.3777
H 0.4398 0.0621 0.0919
H 0.9702 0.3479 0.9081
Se 0.2027 0.2027 0.0000
Br 0.4081 0.5815 0.6099
Br 0.5815 0.9716 0.1734
Br 0.7981 0.4081 0.8266
Br 0.9716 0.7981 0.3901

No. 18
Computed, not measured: a relaxed structure of H4SeBr3 at the PBE level of DFT.

Computed properties:
VASP energy = -2.70 eV/atom

Cell: 6.1493 7.9314 7.2131 Å, 90.00 90.00 90.00°
Element x y z (fractional)
H 0.0000 0.1207 0.0000
H 0.0000 0.3127 0.7967
H 0.1935 0.7499 0.5149
H 0.3065 0.2501 0.0149
H 0.5000 0.6873 0.2967
H 0.5000 0.8793 0.5000
H 0.6935 0.2501 0.0149
H 0.8065 0.7499 0.5149
Se 0.0000 0.3098 0.0062
Se 0.5000 0.6902 0.5062
Br 0.0000 0.8811 0.5054
Br 0.2491 0.7242 0.9916
Br 0.2509 0.2758 0.4916
Br 0.5000 0.1189 0.0054
Br 0.7491 0.2758 0.4916
Br 0.7509 0.7242 0.9916

No. 19
Computed, not measured: a relaxed structure of SiHSeBr2 at the PBE level of DFT.

Computed properties:
Energy relative to the lowest polymorph listed for this composition = 0.0 meV per atom

Cell: 5.1538 5.1538 4.8259 Å, 90.00 90.00 90.00°
Element x y z (fractional)
Si 0.0000 0.0000 0.0000
H 0.5000 0.5000 0.5000
Se 0.0000 0.0000 0.5000
Br 0.0000 0.5000 0.0000
Br 0.5000 0.0000 0.0000

No. 20
Computed, not measured: a relaxed structure of SiHSeBr2 at the PBE level of DFT.

Computed properties:
Energy relative to the lowest polymorph listed for this composition = 127.3 meV per atom

Cell: 5.3298 5.3298 3.5417 Å, 90.00 90.00 90.00°
Element x y z (fractional)
Si 0.0000 0.0000 0.0000
H 0.5000 0.5000 0.5000
Se 0.5000 0.5000 0.0000
Br 0.0000 0.5000 0.5000
Br 0.5000 0.0000 0.5000

No. 21
Computed, not measured: a relaxed structure of Sm2H2SeBr at the PBE level of DFT.

Computed properties:
VASP energy = -4.77 eV/atom

Cell: 3.9192 3.9192 8.5740 Å, 90.00 90.00 120.00°
Element x y z (fractional)
Sm 0.3333 0.6667 0.2193
Sm 0.6667 0.3333 0.7807
H 0.3333 0.6667 0.7481
H 0.6667 0.3333 0.2519
Se 0.0000 0.0000 0.0000
Br 0.0000 0.0000 0.5000

No. 22
Computed, not measured: a relaxed structure of SnHSeBr2 at the PBE level of DFT.

Computed properties:
Energy relative to the lowest polymorph listed for this composition = 169.3 meV per atom

Cell: 5.5965 5.5965 5.2965 Å, 90.00 90.00 90.00°
Element x y z (fractional)
Sn 0.0000 0.0000 0.0000
H 0.5000 0.5000 0.5000
Se 0.0000 0.0000 0.5000
Br 0.0000 0.5000 0.0000
Br 0.5000 0.0000 0.0000

No. 23
Computed, not measured: a relaxed structure of SnHSeBr2 at the PBE level of DFT.

Computed properties:
Energy relative to the lowest polymorph listed for this composition = 0.0 meV per atom

Cell: 5.5541 5.5541 3.6116 Å, 90.00 90.00 90.00°
Element x y z (fractional)
Sn 0.0000 0.0000 0.0000
H 0.5000 0.5000 0.5000
Se 0.5000 0.5000 0.0000
Br 0.0000 0.5000 0.5000
Br 0.5000 0.0000 0.5000

No. 24
Computed, not measured: a relaxed structure of Sr2HSeBr at the PBE level of DFT.

Computed properties:
VASP energy = -3.35 eV/atom

Cell: 5.2334 5.2334 4.5866 Å, 90.00 90.00 90.00°
Element x y z (fractional)
Sr 0.0000 0.5000 0.0000
Sr 0.5000 0.0000 0.0000
H 0.0000 0.0000 0.0000
Se 0.5000 0.5000 0.5000
Br 0.0000 0.0000 0.5000

No. 25
Computed, not measured: a relaxed structure of SrHSeBr2 at the PBE level of DFT.

Computed properties:
Energy relative to the lowest polymorph listed for this composition = 384.3 meV per atom

Cell: 5.9807 5.9807 6.3813 Å, 90.00 90.00 90.00°
Element x y z (fractional)
Sr 0.0000 0.0000 0.0000
H 0.5000 0.5000 0.5000
Se 0.0000 0.0000 0.5000
Br 0.0000 0.5000 0.0000
Br 0.5000 0.0000 0.0000